Record 1
## Mg2Ga7Ag2 (GGA-PBE)

Data for a relaxed Mg2Ga7Ag2 crystal.

Calculated values
DFT total energy ... -2.769 eV/atom
Crystal system ... monoclinic
Formation enthalpy at 0 K ... -0.035 eV per atom

abc: 9.870 9.622 5.122
angles: 90.00 120.11 90.00
Space group C2/m (No. 12)
One atom of each set of equivalent atoms:
Mg 0.000 0.170 0.000 [4 per cell]
Ga 0.000 0.000 0.500 [2 per cell]
Ga 0.103 0.500 0.880 [4 per cell]
Ga 0.169 0.247 0.686 [8 per cell]
Ag 0.234 0.500 0.509 [4 per cell]

=====

Record 2
## Mg6GaAg2 (GGA-PBE)

Data for a relaxed Mg6GaAg2 crystal.

Calculated values
DFT total energy ... -2.156 eV/atom
Crystal system ... orthorhombic
Formation enthalpy at 0 K ... -0.123 eV per atom

abc: 8.506 9.069 9.765
angles: 90.00 90.00 90.00
Space group Immm (No. 71)
One atom of each set of equivalent atoms:
Mg 0.000 0.215 0.164 [8 per cell]
Mg 0.184 0.215 0.500 [8 per cell]
Mg 0.190 0.500 0.247 [8 per cell]
Ga 0.000 0.500 0.000 [2 per cell]
Ga 0.000 0.500 0.500 [2 per cell]
Ag 0.000 0.000 0.357 [4 per cell]
Ag 0.169 0.000 0.000 [4 per cell]